Below is crystalline V3WC at its relaxed geometry, with properties calculated at the PBE level.

```
V3WC
1.0
-3.449 0.554 -2.464
2.407 -4.424 -0.656
-3.533 -3.635 4.128
W V C
2 6 2
direct
0.608 0.216 0.325
0.392 0.784 0.675
0.667 0.335 0.880
0.859 0.718 0.461
0.050 0.101 0.151
0.333 0.665 0.120
0.950 0.899 0.849
0.141 0.282 0.539
0.175 0.351 0.858
0.825 0.649 0.142
```

Output
For the formation energy, the calculation gives -16 meV per atom. For the spin magnetization, the calculation gives 0.000 μB/cell.